First-principles (PBE) data for a geometry-optimized CeNdCo2 structure, as listed in Alexandria.

Properties
For the raw total energy, the calculation gives -6.4076 eV per atom. The calculation puts the formation energy from the elements at -0.179 eV per atom. The density comes out at 8.12 g/cm3. The spin magnetization is 0.00 μB per atom.

a b c (Å): 6.168 6.214 9.012
angles (deg): 90.00 107.76 90.00
Element x y z (fractional)
Ce 0.539 0.869 0.343
Ce 0.461 0.131 0.657
Ce 0.961 0.869 0.157
Ce 0.039 0.131 0.843
Nd 0.957 0.636 0.654
Nd 0.043 0.364 0.346
Nd 0.543 0.636 0.846
Nd 0.457 0.364 0.154
Co 0.916 0.332 0.016
Co 0.084 0.668 0.984
Co 0.584 0.332 0.484
Co 0.416 0.668 0.516
Co 0.566 0.125 0.913
Co 0.434 0.875 0.087
Co 0.934 0.125 0.587
Co 0.066 0.875 0.413